No. 1
Entry from Alexandria via LeMat-Bulk: a geometry-optimized LiPu3Pd4 structure (PBE-GGA).

## Properties
The value obtained for the theoretical density is 11.6 g/cm3. Its symmetry is No. 44. The value obtained for the formation energy is -0.28 eV/atom.

a b c (Å): 6.182 6.182 6.182
angles (deg): 105.27 96.96 127.98
Fractional positions:
Pd1 0.255 0.678 0.933
Pd2 0.512 0.246 0.266
Pu1 0.935 0.000 0.935
Pd3 0.020 0.754 0.266
Pd4 0.255 0.322 0.577
Li1 0.006 0.500 0.506
Pu2 0.583 0.780 0.363
Pu3 0.583 0.220 0.803

No. 2
Entry from Alexandria via LeMat-Bulk: a geometry-optimized LiPuPd4 structure (PBE-GGA).

## Properties
The value obtained for the theoretical density is 10.8 g/cm3. Its symmetry is No. 47. The value obtained for the formation energy is -0.29 eV/atom.

a b c (Å): 2.847 8.004 4.547
angles (deg): 90.00 90.00 90.00
Fractional positions:
Pd1 0.500 0.675 0.000
Pu1 0.000 0.000 0.000
Pd2 0.500 0.325 0.000
Pd3 0.000 0.213 0.500
Li1 0.500 0.500 0.500
Pd4 0.000 0.787 0.500

No. 3
Entry from Alexandria via LeMat-Bulk: a geometry-optimized LiPuPd structure (PBE-GGA).

## Properties
The value obtained for the theoretical density is 10.3 g/cm3. Its symmetry is No. 107. The value obtained for the formation energy is -0.19 eV/atom.

a b c (Å): 3.317 3.317 5.759
angles (deg): 106.74 106.74 90.00
Fractional positions:
Li1 0.317 0.317 0.635
Pd1 0.925 0.925 0.851
Pu1 0.607 0.607 0.214

No. 4
Entry from Alexandria via LeMat-Bulk: a geometry-optimized LiPu6Pd5 structure (PBE-GGA).

## Properties
The value obtained for the theoretical density is 12.8 g/cm3. Its symmetry is No. 71. The value obtained for the formation energy is -0.29 eV/atom.

a b c (Å): 5.326 8.985 8.985
angles (deg): 126.57 107.24 107.24
Fractional positions:
Pu1 0.240 0.740 0.740
Pd1 0.000 0.334 0.666
Pu2 0.254 0.426 0.083
Pd2 0.500 0.160 0.840
Pu3 0.760 0.260 0.260
Li1 0.000 0.000 0.000
Pu4 0.746 0.917 0.574
Pd3 0.500 0.840 0.160
Pd4 0.000 0.666 0.334
Pu5 0.746 0.574 0.917
Pd5 0.500 0.500 0.500
Pu6 0.254 0.083 0.426

No. 5
Entry from Alexandria via LeMat-Bulk: a geometry-optimized LiPuPd structure (PBE-GGA).

## Properties
The value obtained for the theoretical density is 11.3 g/cm3. Its symmetry is No. 11. The value obtained for the formation energy is -0.11 eV/atom.

a b c (Å): 3.797 3.195 8.760
angles (deg): 90.00 98.85 90.00
Fractional positions:
Pu1 0.644 0.750 0.583
Li1 0.744 0.250 0.965
Li2 0.256 0.750 0.035
Pu2 0.356 0.250 0.417
Pd1 0.176 0.250 0.767
Pd2 0.824 0.750 0.233

No. 6
Entry from Alexandria via LeMat-Bulk: a geometry-optimized Li3PuPd6 structure (PBE-GGA).

## Properties
The value obtained for the theoretical density is 9.8 g/cm3. Its symmetry is No. 11. The value obtained for the formation energy is -0.43 eV/atom.

a b c (Å): 4.256 8.003 9.140
angles (deg): 99.70 90.00 90.00
Fractional positions:
Pd1 0.750 0.845 0.785
Pu1 0.250 0.942 0.609
Pd2 0.250 0.620 0.690
Pd3 0.250 0.284 0.523
Pd4 0.750 0.540 0.897
Li1 0.250 0.748 0.971
Li2 0.750 0.455 0.609
Li3 0.250 0.358 0.823
Li4 0.750 0.252 0.029
Pd5 0.250 0.065 0.913
Pd6 0.750 0.380 0.310
Pd7 0.750 0.716 0.477
Pd8 0.250 0.155 0.215
Li5 0.750 0.642 0.177
Pd9 0.250 0.818 0.271
Pd10 0.750 0.182 0.729
Li6 0.250 0.545 0.391
Pd11 0.750 0.935 0.087
Pu2 0.750 0.058 0.391
Pd12 0.250 0.460 0.103

No. 7
Entry from Alexandria via LeMat-Bulk: a geometry-optimized Li2PuPd3 structure (PBE-GGA).

## Properties
The value obtained for the theoretical density is 9.8 g/cm3. Its symmetry is No. 65. The value obtained for the formation energy is -0.42 eV/atom.

a b c (Å): 4.376 6.888 6.878
angles (deg): 90.00 90.00 71.48
Fractional positions:
Pd1 0.500 0.000 0.722
Li1 0.000 0.000 0.500
Li2 0.330 0.341 0.500
Pu1 0.662 0.676 0.000
Li3 0.000 0.000 0.000
Pd2 0.160 0.680 0.280
Pd3 0.840 0.320 0.280
Li4 0.670 0.659 0.500
Pu2 0.338 0.324 0.000
Pd4 0.840 0.320 0.720
Pd5 0.500 0.000 0.278
Pd6 0.160 0.680 0.720

No. 8
Entry from Alexandria via LeMat-Bulk: a geometry-optimized LiPu3Pd12 structure (PBE-GGA).

## Properties
The value obtained for the theoretical density is 12.4 g/cm3. Its symmetry is No. 123. The value obtained for the formation energy is -0.13 eV/atom.

a b c (Å): 4.101 4.101 16.049
angles (deg): 90.00 90.00 90.00
Fractional positions:
Pd1 0.500 0.500 0.245
Pd2 0.000 0.500 0.630
Pd3 0.000 0.500 0.881
Pd4 0.500 0.000 0.119
Pd5 0.000 0.500 0.119
Pd6 0.500 0.500 0.500
Pu1 0.000 0.000 0.761
Pd7 0.500 0.000 0.370
Pu2 0.000 0.000 0.500
Li1 0.000 0.000 0.000
Pd8 0.500 0.000 0.881
Pu3 0.000 0.000 0.239
Pd9 0.500 0.500 0.755
Pd10 0.000 0.500 0.370
Pd11 0.500 0.500 0.000
Pd12 0.500 0.000 0.630

No. 9
Entry from Alexandria via LeMat-Bulk: a geometry-optimized Li2PuPd3 structure (PBE-GGA).

## Properties
The value obtained for the theoretical density is 9.4 g/cm3. Its symmetry is No. 194. The value obtained for the formation energy is -0.42 eV/atom.

a b c (Å): 4.419 4.419 12.039
angles (deg): 90.00 90.00 120.00
Fractional positions:
Li1 0.667 0.333 0.421
Li2 0.333 0.667 0.579
Li3 0.333 0.667 0.921
Pu1 0.000 0.000 0.750
Pd1 0.000 0.000 0.500
Pd2 0.333 0.667 0.131
Pd3 0.667 0.333 0.631
Pd4 0.333 0.667 0.369
Pd5 0.000 0.000 0.000
Li4 0.667 0.333 0.079
Pd6 0.667 0.333 0.869
Pu2 0.000 0.000 0.250

No. 10
Entry from Alexandria via LeMat-Bulk: a geometry-optimized LiPu2Pd4 structure (PBE-GGA).

## Properties
The value obtained for the theoretical density is 10.3 g/cm3. Its symmetry is No. 139. The value obtained for the formation energy is -0.24 eV/atom.

a b c (Å): 6.184 6.184 5.842
angles (deg): 121.98 121.98 89.96
Fractional positions:
Pd1 0.281 0.719 0.000
Pd2 0.281 0.281 0.000
Pd3 0.719 0.281 0.000
Pd4 0.719 0.719 0.000
Pu1 0.250 0.750 0.500
Pu2 0.750 0.250 0.500
Li1 0.000 0.000 0.000

No. 11
Entry from Alexandria via LeMat-Bulk: a geometry-optimized Li2PuPd structure (PBE-GGA).

## Properties
The value obtained for the theoretical density is 9.7 g/cm3. Its symmetry is No. 166. The value obtained for the formation energy is 0.04 eV/atom.

a b c (Å): 2.676 2.676 10.164
angles (deg): 82.44 82.44 60.00
Fractional positions:
Pd1 0.500 0.500 0.500
Li1 0.096 0.096 0.713
Li2 0.904 0.904 0.287
Pu1 0.000 0.000 0.000

No. 12
Entry from Alexandria via LeMat-Bulk: a geometry-optimized LiPuPd4 structure (PBE-GGA).

## Properties
The value obtained for the theoretical density is 11.2 g/cm3. Its symmetry is No. 63. The value obtained for the formation energy is -0.41 eV/atom.

a b c (Å): 4.071 6.126 8.308
angles (deg): 90.00 104.18 90.00
Fractional positions:
Li1 0.220 0.750 0.440
Li2 0.780 0.250 0.560
Pd1 0.500 0.000 0.000
Pd2 0.676 0.530 0.352
Pd3 0.324 0.470 0.648
Pd4 0.676 0.970 0.352
Pd5 0.074 0.750 0.148
Pd6 0.500 0.500 0.000
Pu1 0.896 0.750 0.791
Pd7 0.324 0.030 0.648
Pu2 0.104 0.250 0.209
Pd8 0.926 0.250 0.852

Question: Which formula does entry 3 have?
Answer: LiPuPd